1.
Here is an optimized crystal structure of Ac3HgAu3 from Alexandria. Energies are from PBE.

Properties
- final energy (eV per cell) = -27.55
- energy above the most stable polymorph in this dataset (eV/atom) = 0.000
- space group = No. 44
- energy relative to the elements (kJ/mol of formula units) = -491

Cell lengths 11.2023, 11.2023, 11.2023 Å; angles 158.45, 155.68, 32.72 degrees
Element x y z (fractional)
Ac (0.0000, 0.0000, 0.0000)
Ac (0.3697, 0.3697, 0.0000)
Ac (0.6712, 0.1712, 0.5000)
Hg (0.2486, 0.7486, 0.5000)
Au (0.1158, 0.6158, 0.5000)
Au (0.5307, 0.5307, 0.0000)
Au (0.8390, 0.8390, 0.0000)



2.
Here is an optimized crystal structure of Ac6HgAu5 from Alexandria. Energies are from PBE.

Properties
- final energy (eV per cell) = -50.06
- space group = No. 12
- energy relative to the elements (kJ/mol of formula units) = -842

Cell lengths 9.6202, 9.6202, 5.5650 Å; angles 106.74, 106.74, 119.92 degrees
Element x y z (fractional)
Ac (0.0760, 0.4160, 0.7459)
Ac (0.2417, 0.2417, 0.2418)
Ac (0.4160, 0.0760, 0.7459)
Ac (0.5840, 0.9240, 0.2541)
Ac (0.7583, 0.7583, 0.7582)
Ac (0.9240, 0.5840, 0.2541)
Hg (0.5000, 0.5000, 0.0000)
Au (0.0000, 0.0000, 0.5000)
Au (0.1670, 0.8330, 0.0000)
Au (0.3398, 0.6602, 0.5000)
Au (0.6602, 0.3398, 0.5000)
Au (0.8330, 0.1670, 0.0000)



3.
Here is an optimized crystal structure of AcHg6Au from Alexandria. Energies are from PBE.

Properties
- final energy (eV per cell) = -10.78
- space group = No. 38
- energy relative to the elements (kJ/mol of formula units) = -153

Cell lengths 5.3233, 7.2387, 7.2387 Å; angles 51.08, 90.00, 90.00 degrees
Element x y z (fractional)
Ac (0.0000, 0.0000, 0.0000)
Hg (0.0000, 0.4981, 0.9744)
Hg (0.0000, 0.9744, 0.4981)
Hg (0.5000, 0.1361, 0.6336)
Hg (0.5000, 0.1631, 0.1631)
Hg (0.5000, 0.6044, 0.6044)
Hg (0.5000, 0.6336, 0.1361)
Au (0.0000, 0.4350, 0.4350)



So what do the calculations give for spin magnetization? Going down the list: 0.0, 0.0, 0.0 μB/cell.